[1]
First-principles (PBE) data for a geometry-optimized Ac4As2PbSe structure, as listed in Alexandria.

Output
Its total energy is -43.680 eV/cell. The crystal system is monoclinic. The calculation puts the formation energy (no corrections) at -1344 meV per atom.

a b c (Å): 4.5632 7.9977 8.0671
angles (deg): 108.99 90.00 90.00
Sites, in units of the cell vectors:
Pb  0.0000  0.0000  0.0000
Ac  0.5000  0.2595  0.2644
As  0.5000  0.0000  0.5000
Ac  0.0000  0.7529  0.2622
Ac  0.5000  0.7405  0.7356
Se  0.5000  0.5000  0.0000
Ac  0.0000  0.2471  0.7378
As  0.0000  0.5000  0.5000

[2]
First-principles (PBE) data for a geometry-optimized LaSi3Ir2 structure, as listed in Alexandria.

Output
Its total energy is -131.404 eV/cell. The crystal system is monoclinic. The calculation puts the formation energy (no corrections) at -814 meV per atom.

a b c (Å): 4.0703 8.3341 9.6244
angles (deg): 102.73 90.00 104.13
Sites, in units of the cell vectors:
Ir  0.3527  0.7053  0.5635
La  0.8478  0.6955  0.3021
Si  0.6414  0.2828  0.1829
Si  0.0472  0.0944  0.3688
Ir  0.4931  0.9862  0.2372
Ir  0.5069  0.0138  0.7628
Si  0.9528  0.9056  0.6312
Si  0.5000  0.0000  0.5000
Si  0.7787  0.5574  0.6250
La  0.1522  0.3045  0.6979
Ir  0.7911  0.5822  0.9097
Ir  0.6473  0.2947  0.4365
La  0.0000  0.0000  0.0000
Si  0.3555  0.7111  0.0678
Ir  0.2089  0.4178  0.0903
Si  0.6445  0.2889  0.9322
Si  0.2213  0.4426  0.3750
Si  0.3586  0.7172  0.8171

Q: Which formula does entry 1 have?
A: Ac4As2PbSe